Record 1
## Ba3CaAg4 (PBE)

Data for crystalline Ba3CaAg4 at its relaxed geometry.

energy of formation: -247 meV/atom
V: 32.5 A^3/atom
N(E_F): 6.0 states/eV per cell
space-group type: P4/mmm (123)

Geometry as extended XYZ:
```
8
Lattice="4.0230 0.0000 0.0000 0.0000 4.0230 0.0000 0.0000 0.0000 16.0762" Properties=species:S:1:pos:R:3 pbc="T T T"
Ba 0.0000 0.0000 0.0000
Ba 0.0000 0.0000 4.2082
Ba 0.0000 0.0000 11.8680
Ca 0.0000 0.0000 8.0381
Ag 2.0115 2.0115 2.1051
Ag 2.0115 2.0115 6.5042
Ag 2.0115 2.0115 9.5720
Ag 2.0115 2.0115 13.9711
```

Record 2
## CdSn3F (PBE)

Data for crystalline CdSn3F at its relaxed geometry.

V: 25.2 A^3/atom
N(E_F): 2.5 states/eV per cell
uncorrected formation energy: -0.32 eV/atom
space-group type: Pm-3m (221)

Geometry as extended XYZ:
```
5
Lattice="5.0162 0.0000 0.0000 0.0000 5.0162 0.0000 0.0000 0.0000 5.0162" Properties=species:S:1:pos:R:3 pbc="T T T"
Cd 0.0000 0.0000 0.0000
Sn 0.0000 2.5081 2.5081
Sn 2.5081 0.0000 2.5081
Sn 2.5081 2.5081 0.0000
F 2.5081 2.5081 2.5081
```

Record 3
## RbCrIr2 (PBE)

Data for crystalline RbCrIr2 at its relaxed geometry.

energy of formation: 1092 meV/atom
V: 24.2 A^3/atom
N(E_F): 8.3 states/eV per cell
space-group type: I-42d (122)

Geometry as extended XYZ:
```
8
Lattice="-3.6640 3.6640 3.5978 3.6640 -3.6640 3.5978 3.6640 3.6640 -3.5978" Properties=species:S:1:pos:R:3 pbc="T T T"
Rb 0.0000 0.0000 0.0000
Rb 0.0000 3.6640 1.7989
Cr 3.6640 0.0000 1.7989
Cr 0.0000 0.0000 3.5978
Ir 1.8320 2.6315 -0.8995
Ir 4.6965 1.8320 0.8995
Ir 1.8320 1.0325 2.6984
Ir -1.0325 1.8320 4.4973
```

Record 4
## CaPd3Au2 (PBE)

Data for crystalline CaPd3Au2 at its relaxed geometry.

energy of formation: -447 meV/atom
V: 19.5 A^3/atom
N(E_F): 3.1 states/eV per cell
space-group type: P6/mmm (191)

Geometry as extended XYZ:
```
6
Lattice="5.4558 0.0000 0.0000 -2.7279 4.7249 0.0000 0.0000 0.0000 4.5468" Properties=species:S:1:pos:R:3 pbc="T T T"
Ca 0.0000 0.0000 0.0000
Pd -1.3640 2.3624 2.2734
Pd 2.7279 0.0000 2.2734
Pd 1.3640 2.3624 2.2734
Au 0.0000 3.1499 0.0000
Au 2.7279 1.5750 0.0000
```

Record 5
## Ca2PuRh3 (PBE)

Data for crystalline Ca2PuRh3 at its relaxed geometry.

energy of formation: -487 meV/atom
V: 20.3 A^3/atom
N(E_F): 18.3 states/eV per cell
space-group type: P6_3/mmc (194)

Geometry as extended XYZ:
```
12
Lattice="5.8611 0.0000 0.0000 -2.9305 5.0758 0.0000 0.0000 0.0000 8.1877" Properties=species:S:1:pos:R:3 pbc="T T T"
Ca 0.0000 3.3839 0.5303
Ca 0.0000 3.3839 3.5635
Ca 2.9305 1.6919 4.6242
Ca 2.9305 1.6919 7.6574
Pu 0.0000 0.0000 0.0000
Pu 0.0000 0.0000 4.0939
Rh 0.0000 1.7564 6.1408
Rh -1.4094 4.1976 6.1408
Rh 1.5211 0.8782 2.0469
Rh 1.4094 4.1976 6.1408
Rh 4.3400 0.8782 2.0469
Rh 2.9305 3.3194 2.0469
```

Record 6
## NaAl2Cu (PBE)

Data for crystalline NaAl2Cu at its relaxed geometry.

energy of formation: -18 meV/atom
V: 17.8 A^3/atom
N(E_F): 1.4 states/eV per cell
space-group type: P4/mmm (123)

Geometry as extended XYZ:
```
4
Lattice="2.9248 0.0000 0.0000 0.0000 2.9248 0.0000 0.0000 0.0000 8.3139" Properties=species:S:1:pos:R:3 pbc="T T T"
Na 0.0000 0.0000 0.0000
Al 1.4624 1.4624 2.5775
Al 1.4624 1.4624 5.7365
Cu 0.0000 0.0000 4.1570
```

Record 7
## KBaLi2Pt (PBE)

Data for crystalline KBaLi2Pt at its relaxed geometry.

energy of formation: -125 meV/atom
V: 34.5 A^3/atom
N(E_F): 3.2 states/eV per cell
space-group type: P4/mmm (123)

Geometry as extended XYZ:
```
5
Lattice="5.3899 0.0000 0.0000 0.0000 5.3899 0.0000 0.0000 0.0000 5.9388" Properties=species:S:1:pos:R:3 pbc="T T T"
K 0.0000 0.0000 0.0000
Ba 2.6950 2.6950 0.0000
Li 0.0000 2.6950 2.9694
Li 2.6950 0.0000 2.9694
Pt 2.6950 2.6950 2.9694
```

Record 8
## RbCaRe3 (PBE)

Data for crystalline RbCaRe3 at its relaxed geometry.

energy of formation: 3388 meV/atom
V: 25.6 A^3/atom
N(E_F): 5.5 states/eV per cell
space-group type: Pm-3m (221)

Geometry as extended XYZ:
```
5
Lattice="5.0428 0.0000 0.0000 0.0000 5.0428 0.0000 0.0000 0.0000 5.0428" Properties=species:S:1:pos:R:3 pbc="T T T"
Rb 0.0000 0.0000 0.0000
Ca 2.5214 2.5214 2.5214
Re 0.0000 2.5214 2.5214
Re 2.5214 0.0000 2.5214
Re 2.5214 2.5214 0.0000
```

Record 9
## PrHoMgCd (PBE)

Data for crystalline PrHoMgCd at its relaxed geometry.

energy of formation: -199 meV/atom
V: 27.9 A^3/atom
N(E_F): 4.8 states/eV per cell
space-group type: F-43m (216)

Geometry as extended XYZ:
```
4
Lattice="0.0000 3.8222 3.8222 3.8222 0.0000 3.8222 3.8222 3.8222 0.0000" Properties=species:S:1:pos:R:3 pbc="T T T"
Pr 0.0000 0.0000 0.0000
Ho 3.8222 3.8222 3.8222
Mg 1.9111 1.9111 1.9111
Cd 5.7334 5.7334 5.7334
```

Record 10
## Pb2WCl (PBE)

Data for crystalline Pb2WCl at its relaxed geometry.

V: 25.7 A^3/atom
N(E_F): 2.1 states/eV per cell
uncorrected formation energy: 0.43 eV/atom
space-group type: Imm2 (44)

Geometry as extended XYZ:
```
4
Lattice="-1.5402 2.6441 6.3209 1.5402 -2.6441 6.3209 1.5402 2.6441 -6.3209" Properties=species:S:1:pos:R:3 pbc="T T T"
Pb 0.0000 0.0000 0.0000
Pb 0.0000 2.6441 2.5868
W 1.5402 0.0000 2.5669
Cl 0.0000 0.0000 4.5602
```

Record 11
## Sr2MgPb (PBE)

Data for crystalline Sr2MgPb at its relaxed geometry.

energy of formation: -331 meV/atom
V: 35.2 A^3/atom
N(E_F): 2.2 states/eV per cell
space-group type: Pmm2 (25)

Geometry as extended XYZ:
```
4
Lattice="4.0793 0.0000 0.0000 0.0000 5.8782 0.0000 0.0000 0.0000 5.8771" Properties=species:S:1:pos:R:3 pbc="T T T"
Sr 0.0000 0.0000 0.0000
Sr 0.0000 2.9391 2.9211
Mg 2.0396 2.9391 5.8523
Pb 2.0396 0.0000 2.9409
```

Record 12
## HfTaS3 (PBE)

Data for crystalline HfTaS3 at its relaxed geometry.

V: 22.7 A^3/atom
N(E_F): 2.8 states/eV per cell
uncorrected formation energy: 0.13 eV/atom
space-group type: Pm-3m (221)

Geometry as extended XYZ:
```
5
Lattice="4.8384 0.0000 0.0000 0.0000 4.8384 0.0000 0.0000 0.0000 4.8384" Properties=species:S:1:pos:R:3 pbc="T T T"
Hf 0.0000 0.0000 0.0000
Ta 2.4192 2.4192 2.4192
S 0.0000 0.0000 2.4192
S 0.0000 2.4192 0.0000
S 2.4192 0.0000 0.0000
```

Record 13
## TlAsP2Pd (PBE)

Data for crystalline TlAsP2Pd at its relaxed geometry.

energy of formation: 1418 meV/atom
V: 25.8 A^3/atom
N(E_F): 2.7 states/eV per cell
space-group type: P4/mmm (123)

Geometry as extended XYZ:
```
5
Lattice="5.0517 0.0000 0.0000 0.0000 5.0517 0.0000 0.0000 0.0000 5.0536" Properties=species:S:1:pos:R:3 pbc="T T T"
Tl 0.0000 0.0000 0.0000
As 2.5259 2.5259 2.5268
P 0.0000 2.5259 0.0000
P 2.5259 0.0000 0.0000
Pd 0.0000 0.0000 2.5268
```

Record 14
## Tc3W4 (PBE)

Data for crystalline Tc3W4 at its relaxed geometry.

energy of formation: 157 meV/atom
V: 15.8 A^3/atom
N(E_F): 6.9 states/eV per cell
space-group type: P6/mmm (191)

Geometry as extended XYZ:
```
7
Lattice="5.0440 0.0000 0.0000 -2.5220 4.3682 0.0000 0.0000 0.0000 5.0243" Properties=species:S:1:pos:R:3 pbc="T T T"
Tc -1.2610 2.1841 0.0000
Tc 2.5220 0.0000 0.0000
Tc 1.2610 2.1841 0.0000
W 0.0000 0.0000 1.2877
W 0.0000 0.0000 3.7366
W 0.0000 2.9122 2.5121
W 2.5220 1.4561 2.5121
```

Record 15
## ReAs2I2 (PBE)

Data for crystalline ReAs2I2 at its relaxed geometry.

V: 45.7 A^3/atom
N(E_F): 7.3 states/eV per cell
uncorrected formation energy: 1.04 eV/atom
space-group type: P4/mbm (127)

Geometry as extended XYZ:
```
10
Lattice="7.3568 0.0000 0.0000 0.0000 7.3568 0.0000 0.0000 0.0000 8.4421" Properties=species:S:1:pos:R:3 pbc="T T T"
Re 0.0000 0.0000 0.0000
Re 3.6784 3.6784 0.0000
As 0.7510 2.9274 4.2211
As 2.9274 6.6058 4.2211
As 4.4294 0.7510 4.2211
As 6.6058 4.4294 4.2211
I 1.2881 4.9665 0.0000
I 2.3902 1.2881 0.0000
I 4.9665 6.0686 0.0000
I 6.0686 2.3902 0.0000
```

Record 16
## NdTmZnPd (PBE)

Data for crystalline NdTmZnPd at its relaxed geometry.

energy of formation: -555 meV/atom
V: 22.9 A^3/atom
N(E_F): 3.1 states/eV per cell
space-group type: F-43m (216)

Geometry as extended XYZ:
```
4
Lattice="0.0000 3.5773 3.5773 3.5773 0.0000 3.5773 3.5773 3.5773 0.0000" Properties=species:S:1:pos:R:3 pbc="T T T"
Nd 0.0000 0.0000 0.0000
Tm 3.5773 3.5773 3.5773
Zn 5.3659 5.3659 5.3659
Pd 1.7886 1.7886 1.7886
```

Record 17
## LaDyAu (PBE)

Data for crystalline LaDyAu at its relaxed geometry.

energy of formation: -569 meV/atom
V: 29.0 A^3/atom
N(E_F): 8.3 states/eV per cell
space-group type: Amm2 (38)

Geometry as extended XYZ:
```
9
Lattice="5.0220 0.0000 0.0000 0.0000 6.2160 4.1797 0.0000 -6.2160 4.1797" Properties=species:S:1:pos:R:3 pbc="T T T"
La 0.0000 0.0000 0.0000
La 0.0000 -2.4102 3.3071
La 0.0000 2.4102 3.3071
Dy 2.5110 0.0000 2.6550
Dy 2.5110 -1.6941 5.9271
Dy 2.5110 1.6941 5.9271
Au 0.0000 0.0000 5.2369
Au 2.5110 -4.2294 4.6664
Au 2.5110 4.2294 4.6664
```

Record 18
## Y2Te2O (PBE)

Data for crystalline Y2Te2O at its relaxed geometry.

V: 25.4 A^3/atom
N(E_F): 0.1 states/eV per cell
uncorrected formation energy: -2.09 eV/atom
space-group type: Ibam (72)

Geometry as extended XYZ:
```
10
Lattice="-3.6336 5.8726 2.9804 3.6336 -5.8726 2.9804 3.6336 5.8726 -2.9804" Properties=species:S:1:pos:R:3 pbc="T T T"
Y 1.3920 1.0842 0.0000
Y 1.3920 -1.0842 2.9804
Y 2.2416 6.9568 0.0000
Y 2.2416 4.7884 2.9804
Te 4.6401 1.7108 0.0000
Te 1.0065 4.1618 0.0000
Te 2.6271 1.7108 2.9804
Te -1.0065 4.1618 2.9804
O 0.0000 0.0000 1.4902
O 0.0000 0.0000 4.4707
```

Record 19
## ThNi2Rh4 (PBE)

Data for crystalline ThNi2Rh4 at its relaxed geometry.

energy of formation: -293 meV/atom
V: 15.8 A^3/atom
N(E_F): 11.8 states/eV per cell
space-group type: Immm (71)

Geometry as extended XYZ:
```
7
Lattice="-2.5565 3.2854 3.2918 2.5565 -3.2854 3.2918 2.5565 3.2854 -3.2918" Properties=species:S:1:pos:R:3 pbc="T T T"
Th 0.0000 0.0000 0.0000
Ni 1.2772 3.2854 0.0000
Ni 1.2793 0.0000 3.2918
Rh 2.5565 1.3338 -1.3346
Rh 0.0000 1.9516 4.6264
Rh 2.5565 1.3338 1.3346
Rh 0.0000 1.9516 1.9571
```

Record 20
## Ni2Te4Br (PBE)

Data for crystalline Ni2Te4Br at its relaxed geometry.

V: 25.2 A^3/atom
N(E_F): 8.4 states/eV per cell
uncorrected formation energy: -0.12 eV/atom
space-group type: C2/c (15)

Geometry as extended XYZ:
```
14
Lattice="5.0408 -6.9161 0.0000 5.0408 6.9161 0.0000 -5.0297 0.0000 5.0541" Properties=species:S:1:pos:R:3 pbc="T T T"
Ni 0.0000 0.0000 0.0000
Ni -2.5148 0.0000 2.5270
Ni 2.5204 3.4581 0.0000
Ni 0.0056 -3.4581 2.5270
Te -2.5241 0.7418 5.0316
Te 2.5345 4.1985 2.5120
Te 5.0322 4.1985 0.0151
Te -0.0092 -0.7418 2.5046
Te 5.0611 0.7418 2.5495
Te 0.0197 -4.1985 5.0390
Te 2.5174 -4.1985 2.5421
Te 7.5760 -0.7418 0.0225
Br 1.2685 1.7168 3.7905
Br 3.7834 -1.7168 1.2635
```

Record 21
## Be2BiBr (PBE)

Data for crystalline Be2BiBr at its relaxed geometry.

V: 19.7 A^3/atom
N(E_F): 1.6 states/eV per cell
uncorrected formation energy: 0.90 eV/atom
space-group type: Fm-3m (225)

Geometry as extended XYZ:
```
4
Lattice="0.0000 3.4024 3.4024 3.4024 0.0000 3.4024 3.4024 3.4024 0.0000" Properties=species:S:1:pos:R:3 pbc="T T T"
Be 1.7012 1.7012 1.7012
Be 5.1036 5.1036 5.1036
Bi 0.0000 0.0000 0.0000
Br 3.4024 3.4024 3.4024
```

Record 22
## CaTl3Pd4 (PBE)

Data for crystalline CaTl3Pd4 at its relaxed geometry.

energy of formation: -300 meV/atom
V: 19.8 A^3/atom
N(E_F): 4.3 states/eV per cell
space-group type: I4/mmm (139)

Geometry as extended XYZ:
```
8
Lattice="-2.4009 2.4009 6.8609 2.4009 -2.4009 6.8609 2.4009 2.4009 -6.8609" Properties=species:S:1:pos:R:3 pbc="T T T"
Ca 0.0000 0.0000 0.0000
Tl 0.0000 0.0000 3.4206
Tl 0.0000 0.0000 6.8609
Tl 0.0000 0.0000 10.3011
Pd 2.4009 0.0000 1.7847
Pd 2.4009 0.0000 5.0762
Pd 0.0000 2.4009 1.7847
Pd 0.0000 2.4009 5.0762
```

Record 23
## CuPPd5 (PBE)

Data for crystalline CuPPd5 at its relaxed geometry.

energy of formation: -94 meV/atom
V: 16.4 A^3/atom
N(E_F): 6.6 states/eV per cell
space-group type: C2/c (15)

Geometry as extended XYZ:
```
14
Lattice="3.8778 -3.6166 0.0000 3.8778 3.6166 0.0000 -3.4684 0.0000 8.1786" Properties=species:S:1:pos:R:3 pbc="T T T"
Cu 1.2765 3.5202 6.1339
Cu 3.0107 -3.5202 2.0446
P 0.2047 1.8083 4.0893
P 1.9389 -1.8083 0.0000
Pd 1.6738 1.5140 2.3807
Pd -1.0017 0.5265 8.0311
Pd 1.2765 0.9996 6.1339
Pd 0.7325 -0.5265 3.9418
Pd 4.3476 1.5140 1.7086
Pd -0.0604 -1.5140 6.4700
Pd 3.5547 0.5265 4.2368
Pd 3.0107 -0.9996 2.0446
Pd 5.2889 -0.5265 0.1475
Pd 2.6133 -1.5140 5.7979
```

Record 24
## PaBe2Os2C (PBE)

Data for crystalline PaBe2Os2C at its relaxed geometry.

energy of formation: -40 meV/atom
V: 13.8 A^3/atom
N(E_F): 3.4 states/eV per cell
space-group type: I4/mmm (139)

Geometry as extended XYZ:
```
6
Lattice="-1.8153 1.8153 6.2993 1.8153 -1.8153 6.2993 1.8153 1.8153 -6.2993" Properties=species:S:1:pos:R:3 pbc="T T T"
Pa 0.0000 0.0000 0.0000
Be 0.0000 0.0000 4.6399
Be 0.0000 0.0000 7.9587
Os 1.8153 0.0000 3.1497
Os 0.0000 1.8153 3.1497
C 0.0000 0.0000 6.2993
```